[1]
Density functional theory data (SCAN) for a PBEsol-optimized structure of ReOs2Rh.

Results
The calculated formation energy comes out at 0.07 eV per atom. The crystal system is trigonal. Its density of states at the Fermi level is 3.5 states/eV/cell. The calculation puts the distance to the lowest polymorph of the same formula at 14 meV per atom. Its space group is R3m (160). The value obtained for the total energy is -62.091 eV per atom.

The structure in POSCAR format:
```
ReOs2Rh
1.0
-0.0885 -0.3925 2.6724
-2.3450 -0.6066 1.1985
0.7974 -8.9468 0.0794
Os Re Rh
2 1 1
direct
0.0004 0.0004 0.9990 Os
0.7497 0.7497 0.7506 Os
0.5000 0.5000 0.5002 Re
0.2499 0.2499 0.2502 Rh
```

=====

[2]
Density functional theory data (SCAN) for a PBEsol-optimized structure of In3BTe.

Results
The formation energy without anion corrections is 1556 meV/atom. The crystal system is cubic. Its density of states at the Fermi level is 4.2 states/eV/cell. Its space group is Pm-3m (221). The value obtained for the total energy is -27.412 eV per atom.

The structure in POSCAR format:
```
In3BTe
1.0
-5.0519 1.6421 -1.9363
-2.1684 -0.5478 5.1929
1.3206 5.3825 1.1192
B Te In
1 1 3
direct
0.5000 0.5000 0.5000 B
0.0000 0.0000 0.0000 Te
0.0000 0.5000 0.0000 In
0.0000 0.0000 0.5000 In
0.5000 0.0000 0.0000 In
```